DFT (PBE) results for crystalline Tb2Dy3Mg7 at its relaxed geometry.

abc: 5.1455 25.8368 5.1569
angles: 90.00 90.00 90.00
With the nearest neighbours (Å) after each atom.
Space group Cmmm (No. 65)
Asymmetric unit:
Tb (0.0000, 0.1438, 0.0000) [4 per cell]  7 Mg 3.18-3.39
Dy (0.0000, 0.3425, 0.5000) [4 per cell]  6 Mg 3.17-3.40
Dy (0.0000, 0.5000, 0.5000) [2 per cell]  8 Mg 3.17
Mg (0.0000, 0.0000, 0.0000) [2 per cell]  8 Mg 3.17-3.18
Mg (0.0000, 0.0718, 0.5000) [4 per cell]  4 Dy 3.17-3.40, 2 Mg 3.18, 2 Tb 3.18
Mg (0.0000, 0.2708, 0.0000) [4 per cell]  2 Mg 2.79
Mg (0.0000, 0.4285, 0.0000) [4 per cell]  2 Mg 3.17, 4 Dy 3.17-3.40, 2 Tb 3.18

---

DFT (PBE) results for crystalline Sc2MoPt at its relaxed geometry.

abc: 8.9576 2.9264 5.5905
angles: 90.00 98.79 90.00
With the nearest neighbours (Å) after each atom.
Space group C2/m (No. 12)
Asymmetric unit:
Sc (0.2455, 0.0000, 0.2501) [4 per cell]  3 Mo 2.78-2.88, 3 Pt 2.83-2.85, 2 Sc 2.93
Mo (0.0000, 0.0000, 0.5000) [2 per cell]  6 Sc 2.78-2.88, 2 Mo 2.93
Pt (0.0000, 0.5000, 0.0000) [2 per cell]  6 Sc 2.83-2.85, 2 Pt 2.93, 4 Mo 3.16

---

DFT (PBE) results for crystalline TbYTm2Th at its relaxed geometry.

abc: 8.2815 6.2126 6.7032
angles: 90.00 99.29 90.00
With the nearest neighbours (Å) after each atom.
Space group P2/c (No. 13)
Asymmetric unit:
Tb (0.0000, 0.0000, 0.0000) [2 per cell]  2 Th 3.30, 2 Tb 3.35, 2 Tm 3.57
Y (0.5000, 0.1273, 0.2500) [2 per cell]  6 Tm 3.39-3.51, 2 Y 3.71
Tm (0.3271, 0.3775, 0.6117) [4 per cell]  1 Tm 3.15, 2 Th 3.17-3.37, 3 Y 3.39-3.51
Th (0.0000, 0.4585, 0.2500) [2 per cell]  4 Tm 3.17-3.37, 2 Tb 3.30, 2 Th 3.39

---

Calculated calculated formation energy, 116; -239; 367 meV/atom (same order as the records).